Arrangement w

Computed, not measured: BaLiMgTl after structural relaxation at the PBE-GGA level of DFT.

Unit cell a=7.8296 b=7.8296 c=7.8296 alpha=90.00 beta=90.00 gamma=90.00
With the nearest neighbours (Å) after each atom.
Space group F-43m (No. 216)
Asymmetric unit:
Ba 0.0000 0.0000 0.0000  4 Tl 3.39, 4 Li 3.39
Li 0.2500 0.2500 0.7500  4 Ba 3.39, 4 Mg 3.39
Mg 0.0000 0.0000 0.5000  4 Tl 3.39, 4 Li 3.39
Tl 0.2500 0.2500 0.2500  4 Ba 3.39, 4 Mg 3.39

Computed properties:
The density of states at the Fermi level comes out at 14.2 states/eV/cell. For the magnetization, the calculation gives 0.00 μB/f.u.


Arrangement x

Computed, not measured: BaLiMgTl after structural relaxation at the PBE-GGA level of DFT.

Unit cell a=8.7088 b=5.0275 c=6.6360 alpha=90.00 beta=115.72 gamma=90.00
With the nearest neighbours (Å) after each atom.
Space group Cm (No. 8)
Asymmetric unit:
Ba 0.0000 0.0000 0.0000  1 Li 3.40, 4 Tl 3.66-3.72
Li 0.3108 0.5000 0.4306  3 Mg 2.95, 3 Tl 3.10
Mg 0.0056 0.5000 0.5153  3 Li 2.95, 3 Tl 2.96
Tl 0.2047 0.0000 0.6126  3 Mg 2.96, 3 Li 3.10

Computed properties:
The density of states at the Fermi level comes out at 4.9 states/eV/cell. For the magnetization, the calculation gives 0.11 μB/f.u.


Energies relative to the most stable structure are arrangement w 0.022; arrangement x 0.000, reported in eV/atom.


Arrangement w

Computed, not measured: BaLiMgZn after structural relaxation at the PBE-GGA level of DFT.

Unit cell a=7.6319 b=7.6319 c=7.6319 alpha=90.00 beta=90.00 gamma=90.00
With the nearest neighbours (Å) after each atom.
Space group F-43m (No. 216)
Asymmetric unit:
Ba 0.0000 0.0000 0.0000  4 Li 3.30, 4 Zn 3.30
Li 0.2500 0.2500 0.7500  4 Ba 3.30, 4 Mg 3.30
Mg 0.0000 0.0000 0.5000  4 Li 3.30, 4 Zn 3.30
Zn 0.2500 0.2500 0.2500  4 Ba 3.30, 4 Mg 3.30

Computed properties:
The density of states at the Fermi level comes out at 22.7 states/eV/cell. For the magnetization, the calculation gives 0.00 μB/f.u.


Arrangement x

Computed, not measured: BaLiMgZn after structural relaxation at the PBE-GGA level of DFT.

Unit cell a=8.4608 b=4.8914 c=6.4149 alpha=90.00 beta=116.16 gamma=90.00
With the nearest neighbours (Å) after each atom.
Space group Cm (No. 8)
Asymmetric unit:
Ba 0.0000 0.0000 0.0000  4 Li 3.33-3.72, 4 Zn 3.39-3.68
Li 0.3071 0.5000 0.4212  3 Mg 2.89, 3 Zn 2.98-2.99
Mg 0.0087 0.5000 0.5267  3 Zn 2.85, 3 Li 2.89
Zn 0.1963 0.0000 0.5896  3 Mg 2.85, 3 Li 2.98-2.99

Computed properties:
The density of states at the Fermi level comes out at 8.3 states/eV/cell. For the magnetization, the calculation gives 0.00 μB/f.u.


Energies relative to the most stable structure are arrangement w 0.070; arrangement x 0.000, reported in eV/atom.


Arrangement w

Computed, not measured: BaLiMn after structural relaxation at the PBE-GGA level of DFT.

Unit cell a=7.7276 b=7.7276 c=7.7276 alpha=90.00 beta=90.00 gamma=90.00
With the nearest neighbours (Å) after each atom.
Space group F-43m (No. 216)
Asymmetric unit:
Ba 0.0000 0.0000 0.0000  4 Mn 3.35, 4 Li 3.35
Li 0.2500 0.2500 0.2500  4 Ba 3.35
Mn 0.2500 0.2500 0.7500  4 Ba 3.35

Computed properties:
The density of states at the Fermi level comes out at 13.1 states/eV/cell. For the magnetization, the calculation gives 3.94 μB/f.u.


Arrangement x

Computed, not measured: BaLiMn after structural relaxation at the PBE-GGA level of DFT.

Unit cell a=5.1290 b=5.1290 c=4.1443 alpha=90.00 beta=90.00 gamma=120.00
With the nearest neighbours (Å) after each atom.
Space group P-6m2 (No. 187)
Asymmetric unit:
Ba 0.0000 0.0000 0.0000  6 Mn 3.61, 6 Li 3.61
Li 0.6667 0.3333 0.5000  3 Mn 2.96
Mn 0.3333 0.6667 0.5000  3 Li 2.96

Computed properties:
The density of states at the Fermi level comes out at 2.7 states/eV/cell. For the magnetization, the calculation gives 3.94 μB/f.u.


Arrangement y

Computed, not measured: BaLiMn after structural relaxation at the PBE-GGA level of DFT.

Unit cell a=7.3784 b=7.3784 c=7.3784 alpha=90.00 beta=90.00 gamma=90.00
With the nearest neighbours (Å) after each atom.
Space group F-43m (No. 216)
Asymmetric unit:
Ba 0.0000 0.0000 0.0000  4 Li 3.19
Li 0.2500 0.2500 0.2500  4 Ba 3.19, 4 Mn 3.19
Mn 0.0000 0.0000 0.5000  4 Li 3.19

Computed properties:
The density of states at the Fermi level comes out at 11.7 states/eV/cell. For the magnetization, the calculation gives 3.58 μB/f.u.


Energies relative to the most stable structure are arrangement w 0.469; arrangement x 0.000; arrangement y 0.193, reported in eV/atom.


Arrangement w

Computed, not measured: BaLiMn2 after structural relaxation at the PBE-GGA level of DFT.

Unit cell a=3.4518 b=5.1354 c=10.2675 alpha=90.00 beta=90.00 gamma=90.00
With the nearest neighbours (Å) after each atom.
Space group Immm (No. 71)
Asymmetric unit:
Ba 0.0000 0.0000 0.0000  4 Li 3.09, 8 Mn 3.33-3.44, 2 Ba 3.45
Li 0.0000 0.0000 0.5000  4 Mn 2.87, 4 Ba 3.09
Mn 0.0000 0.5000 0.2230  2 Li 2.87, 4 Mn 3.14

Computed properties:
The density of states at the Fermi level comes out at 8.1 states/eV/cell. For the magnetization, the calculation gives 7.27 μB/f.u.


Arrangement x

Computed, not measured: BaLiMn2 after structural relaxation at the PBE-GGA level of DFT.

Unit cell a=7.6158 b=4.3933 c=6.6062 alpha=90.00 beta=112.47 gamma=90.00
With the nearest neighbours (Å) after each atom.
Space group Cm (No. 8)
Asymmetric unit:
Ba 0.0000 0.0000 0.0000  4 Li 3.53-3.62, 7 Mn 3.57-3.63
Li 0.1914 0.0000 0.5777  6 Mn 2.70-2.73
Mn 0.3032 0.5000 0.4123  3 Mn 2.54, 3 Li 2.73
Mn 0.4741 0.0000 0.4254  3 Mn 2.54, 3 Li 2.70

Computed properties:
The density of states at the Fermi level comes out at 9.8 states/eV/cell. For the magnetization, the calculation gives 0.02 μB/f.u.


Energies relative to the most stable structure are arrangement w 0.317; arrangement x 0.000, reported in eV/atom.


Arrangement w

Computed, not measured: BaLiMn2 after structural relaxation at the PBE-GGA level of DFT.

Unit cell a=5.0812 b=5.0812 c=18.5348 alpha=90.00 beta=90.00 gamma=90.00
With the nearest neighbours (Å) after each atom.
Space group I4_1/amd (No. 141, origin choice 2)
Asymmetric unit:
Ba 0.0000 0.2500 0.3750  4 Li 3.59, 8 Mn 3.67
Li 0.0000 0.2500 0.8750  4 Mn 2.64
Mn 0.0000 0.0000 0.0000  2 Mn 2.54, 2 Li 2.64

Computed properties:
The density of states at the Fermi level comes out at 24.1 states/eV/cell. For the magnetization, the calculation gives 7.45 μB/f.u.


Arrangement x

Computed, not measured: BaLiMn2 after structural relaxation at the PBE-GGA level of DFT.

Unit cell a=8.9133 b=3.4510 c=6.1031 alpha=90.00 beta=108.27 gamma=90.00
With the nearest neighbours (Å) after each atom.
Space group C2/m (No. 12)
Asymmetric unit:
Ba 0.0000 0.0000 0.0000  8 Mn 3.43-3.72, 2 Ba 3.45, 4 Li 3.51
Li 0.0000 0.5000 0.5000  6 Mn 2.54-2.67
Mn 0.2200 0.0000 0.5733  2 Mn 2.09

Computed properties:
The density of states at the Fermi level comes out at 8.6 states/eV/cell. For the magnetization, the calculation gives 0.00 μB/f.u.


Arrangement y

Computed, not measured: BaLiMn2 after structural relaxation at the PBE-GGA level of DFT.

Unit cell a=3.2628 b=4.5367 c=6.9198 alpha=90.00 beta=103.22 gamma=90.00
With the nearest neighbours (Å) after each atom.
Space group P2/m (No. 10)
Asymmetric unit:
Ba 0.0000 0.0000 0.0000  2 Ba 3.26, 2 Li 3.46, 8 Mn 3.56-3.64
Li 0.0000 0.0000 0.5000  4 Mn 2.69
Mn 0.3641 0.5000 0.6639  2 Mn 2.62-2.89, 2 Li 2.69

Computed properties:
The density of states at the Fermi level comes out at 5.0 states/eV/cell. For the magnetization, the calculation gives 7.85 μB/f.u.


Arrangement z

Computed, not measured: BaLiMn2 after structural relaxation at the PBE-GGA level of DFT.

Unit cell a=3.9729 b=4.3800 c=12.5227 alpha=90.00 beta=90.00 gamma=90.00
With the nearest neighbours (Å) after each atom.
Space group Imm2 (No. 44)
Asymmetric unit:
Ba 0.0000 0.0000 0.0000  6 Mn 3.35-3.66, 2 Li 3.55
Li 0.0000 0.5000 0.7345  2 Mn 2.64
Mn 0.0000 0.0000 0.3734  2 Li 2.64, 2 Mn 2.65
Mn 0.0000 0.5000 0.2546  2 Mn 2.65

Computed properties:
The density of states at the Fermi level comes out at 7.1 states/eV/cell. For the magnetization, the calculation gives 7.54 μB/f.u.


Energies relative to the most stable structure are arrangement w 0.110; arrangement x 0.056; arrangement y 0.000; arrangement z 0.011, reported in eV/atom.


Arrangement w

Computed, not measured: BaLiMn2 after structural relaxation at the PBE-GGA level of DFT.

Unit cell a=3.5244 b=3.5555 c=7.7335 alpha=90.00 beta=90.00 gamma=90.00
With the nearest neighbours (Å) after each atom.
Space group Pmm2 (No. 25)
Asymmetric unit:
Ba 0.0000 0.0000 0.0000  5 Mn 3.42-3.60, 4 Ba 3.52-3.56, 4 Li 3.70
Li 0.5000 0.5000 0.3517  5 Mn 2.68-2.88
Mn 0.0000 0.0000 0.5348  4 Mn 2.81, 4 Li 2.88
Mn 0.5000 0.5000 0.6986  1 Li 2.68, 4 Mn 2.81

Computed properties:
The density of states at the Fermi level comes out at 3.9 states/eV/cell. For the magnetization, the calculation gives 7.51 μB/f.u.


Arrangement x

Computed, not measured: BaLiMn2 after structural relaxation at the PBE-GGA level of DFT.

Unit cell a=7.5105 b=7.5105 c=7.5105 alpha=90.00 beta=90.00 gamma=90.00
With the nearest neighbours (Å) after each atom.
Space group Fm-3m (No. 225)
Asymmetric unit:
Ba 0.0000 0.0000 0.0000  8 Mn 3.25
Li 0.0000 0.0000 0.5000  8 Mn 3.25
Mn 0.2500 0.2500 0.2500  4 Ba 3.25, 4 Li 3.25

Computed properties:
The density of states at the Fermi level comes out at 26.5 states/eV/cell. For the magnetization, the calculation gives 8.28 μB/f.u.


Arrangement y

Computed, not measured: BaLiMn2 after structural relaxation at the PBE-GGA level of DFT.

Unit cell a=7.3329 b=7.3329 c=7.3329 alpha=90.00 beta=90.00 gamma=90.00
With the nearest neighbours (Å) after each atom.
Space group F-43m (No. 216)
Asymmetric unit:
Ba 0.0000 0.0000 0.0000  4 Li 3.18, 4 Mn 3.18
Li 0.2500 0.2500 0.2500  4 Mn 3.18, 4 Ba 3.18
Mn 0.0000 0.0000 0.5000  4 Mn 3.18, 4 Li 3.18
Mn 0.2500 0.2500 0.7500  4 Ba 3.18, 4 Mn 3.18

Computed properties:
The density of states at the Fermi level comes out at 20.3 states/eV/cell. For the magnetization, the calculation gives 7.54 μB/f.u.


Energies relative to the most stable structure are arrangement w 0.000; arrangement x 0.192; arrangement y 0.101, reported in eV/atom.